(1)
The following is a PBEsol calculation of a relaxed BaSrTa crystal, from Alexandria.

Properties
energy relative to the elements: 175.7 kJ per mole of atoms

a = 7.8609 Å, b = 7.8609 Å, c = 7.8609 Å
α = 90.00°, β = 90.00°, γ = 90.00°
Closest atoms and distances in Å follow each position.
Space group F-43m (No. 216)
Unique sites:
Ba1 0.0000 0.0000 0.0000 [4 per cell]  4 Sr 3.40
Sr1 0.2500 0.2500 0.2500 [4 per cell]  4 Ta 3.40, 4 Ba 3.40
Ta1 0.0000 0.0000 0.5000 [4 per cell]  4 Sr 3.40

(2)
The following is a PBEsol calculation of a relaxed ZnTc3Hg crystal, from Alexandria.

Properties
energy relative to the elements: 168.6 kJ per mole of atoms

a = 4.4600 Å, b = 4.4600 Å, c = 4.4600 Å
α = 90.00°, β = 90.00°, γ = 90.00°
Closest atoms and distances in Å follow each position.
Space group Pm-3m (No. 221)
Unique sites:
Zn1 0.0000 0.0000 0.0000 [1 per cell]  6 Tc 2.23
Tc1 0.0000 0.0000 0.5000 [3 per cell]  2 Zn 2.23
Hg1 0.5000 0.5000 0.5000 [1 per cell]  12 Tc 3.15

(3)
The following is a PBEsol calculation of a relaxed LiFeF4 crystal, from Alexandria.

Properties
uncorrected formation energy: -13.4 eV/f.u.

a = 9.9144 Å, b = 2.8632 Å, c = 6.1837 Å
α = 90.00°, β = 126.90°, γ = 90.00°
Closest atoms and distances in Å follow each position.
Space group C2/m (No. 12)
Unique sites:
Li1 0.0000 0.0000 0.0000 [2 per cell]  4 F 1.91
Fe1 0.0000 0.5000 0.5000 [2 per cell]  6 F 1.83-1.87
F1 0.0070 0.5000 0.8027 [4 per cell]  1 Fe 1.83, 2 Li 1.91
F2 0.1518 0.0000 0.6401 [4 per cell]  2 Fe 1.87

(4)
The following is a PBEsol calculation of a relaxed TaTiF2 crystal, from Alexandria.

Properties
uncorrected formation energy: -6.2 eV/f.u.

a = 2.7629 Å, b = 2.7629 Å, c = 22.4500 Å
α = 90.00°, β = 90.00°, γ = 120.00°
Closest atoms and distances in Å follow each position.
Space group R-3m (No. 166, hexagonal axes)
Unique sites:
Ta1 0.0000 0.0000 0.0000 [3 per cell]  2 F 2.26
Ti1 0.0000 0.0000 0.5000 [3 per cell]  6 F 2.18
F1 0.0000 0.0000 0.1005 [6 per cell]  3 Ti 2.18, 1 Ta 2.26

(5)
The following is a PBEsol calculation of a relaxed Li2Mg2W3O12 crystal, from Alexandria.

Properties
uncorrected formation energy: -44.1 eV/f.u.

a = 10.4769 Å, b = 5.1090 Å, c = 20.3323 Å
α = 90.00°, β = 120.67°, γ = 90.00°
Closest atoms and distances in Å follow each position.
Space group Pc (No. 7)
Unique sites:
Li1 0.0000 0.0161 0.0000 [2 per cell]  6 O 2.09-2.31
Li2 0.0924 0.4668 0.6013 [2 per cell]  6 O 2.10-2.28
Li3 0.0938 0.4825 0.7674 [2 per cell]  6 O 2.07-2.24
Li4 0.5420 0.1456 0.0471 [2 per cell]  6 O 2.00-2.14
Mg1 0.0041 0.0104 0.3272 [2 per cell]  6 O 2.04-2.11
Mg2 0.4483 0.5002 0.2748 [2 per cell]  6 O 2.02-2.16
Mg3 0.5470 0.3544 0.5509 [2 per cell]  6 O 2.02-2.06
Mg4 0.6557 0.0032 0.3308 [2 per cell]  6 O 2.01-2.16
W1 0.1774 0.4704 0.9581 [2 per cell]  4 O 1.78-1.80
W2 0.3538 0.0376 0.3569 [2 per cell]  4 O 1.78-1.81
W3 0.3616 0.0262 0.6435 [2 per cell]  4 O 1.77-1.83
W4 0.7435 0.4751 0.9633 [2 per cell]  4 O 1.78-1.83
W5 0.7451 0.4704 0.2438 [2 per cell]  4 O 1.77-1.83
W6 0.9081 0.0066 0.1391 [2 per cell]  4 O 1.78-1.82
O1 0.0371 0.2561 0.6718 [2 per cell]  1 W 1.78
O2 0.0611 0.1833 0.9263 [2 per cell]  1 W 1.80
O3 0.1341 0.3321 0.3760 [2 per cell]  1 W 1.80
O4 0.1390 0.3274 0.5169 [2 per cell]  1 W 1.78
O5 0.1962 0.1571 0.8359 [2 per cell]  1 W 1.78
O6 0.2049 0.1735 0.0873 [2 per cell]  1 W 1.77
O7 0.2964 0.3175 0.2942 [2 per cell]  1 W 1.80
O8 0.3105 0.3115 0.6764 [2 per cell]  1 W 1.80
O9 0.3715 0.3950 0.0066 [2 per cell]  1 W 1.79, 1 Li 2.00
O10 0.4518 0.1198 0.4556 [2 per cell]  1 W 1.78
O11 0.4562 0.1062 0.5939 [2 per cell]  1 W 1.78
O12 0.4731 0.1629 0.8374 [2 per cell]  1 W 1.81
O13 0.4864 0.1698 0.2271 [2 per cell]  1 W 1.83
O14 0.6186 0.3364 0.3775 [2 per cell]  1 W 1.83
O15 0.6275 0.3338 0.7652 [2 per cell]  1 W 1.80
O16 0.6339 0.3999 0.0054 [2 per cell]  1 W 1.79
O17 0.6406 0.3995 0.1445 [2 per cell]  1 W 1.78
O18 0.7199 0.1032 0.5940 [2 per cell]  1 W 1.79
O19 0.7939 0.2000 0.9255 [2 per cell]  1 W 1.81, 1 Mg 2.01
O20 0.8063 0.1878 0.3083 [2 per cell]  1 W 1.83
O21 0.8849 0.2897 0.5150 [2 per cell]  1 W 1.78
O22 0.8938 0.3147 0.7639 [2 per cell]  1 W 1.77
O23 0.9327 0.2292 0.0778 [2 per cell]  1 W 1.80
O24 0.9464 0.1937 0.2233 [2 per cell]  1 W 1.82

(6)
The following is a PBEsol calculation of a relaxed HfMg2BeFe crystal, from Alexandria.

Properties
energy relative to the elements: 74.3 kJ per mole of atoms

a = 4.7399 Å, b = 4.7399 Å, c = 4.4783 Å
α = 90.00°, β = 90.00°, γ = 90.00°
Closest atoms and distances in Å follow each position.
Space group P4/mmm (No. 123)
Unique sites:
Hf1 0.0000 0.0000 0.0000 [1 per cell]  2 Fe 2.24
Mg1 0.0000 0.5000 0.5000 [2 per cell]  2 Fe 2.37
Be1 0.5000 0.5000 0.0000 [1 per cell]  8 Mg 3.26, 4 Hf 3.35
Fe1 0.0000 0.0000 0.5000 [1 per cell]  2 Hf 2.24, 4 Mg 2.37

(7)
The following is a PBEsol calculation of a relaxed PrTe3 crystal, from Alexandria.

Properties
uncorrected formation energy: -4.1 eV/f.u.

a = 4.3374 Å, b = 26.1892 Å, c = 4.3385 Å
α = 90.00°, β = 90.00°, γ = 90.00°
Closest atoms and distances in Å follow each position.
Space group Cmcm (No. 63)
Unique sites:
Pr1 0.0000 0.1687 0.2500 [4 per cell]  9 Te 3.22-3.34
Te1 0.0000 0.0715 0.7500 [4 per cell]  4 Te 3.07, 2 Pr 3.34
Te2 0.0000 0.2942 0.2500 [4 per cell]  5 Pr 3.22-3.29
Te3 0.0000 0.4284 0.7500 [4 per cell]  4 Te 3.07, 2 Pr 3.34

(8)
The following is a PBEsol calculation of a relaxed MgSc2Cl crystal, from Alexandria.

Properties
uncorrected formation energy: -2.5 eV/f.u.

a = 3.3319 Å, b = 3.3319 Å, c = 27.5379 Å
α = 90.00°, β = 90.00°, γ = 120.00°
Closest atoms and distances in Å follow each position.
Space group R3m (No. 160, hexagonal axes)
Unique sites:
Mg1 0.0000 0.0000 0.0000 [3 per cell]  3 Cl 3.09, 3 Sc 3.15, 6 Mg 3.33
Sc1 0.0000 0.0000 0.5129 [3 per cell]  3 Cl 2.64
Sc2 0.0000 0.0000 0.7572 [3 per cell]  9 Sc 3.12-3.33, 3 Mg 3.15
Cl1 0.0000 0.0000 0.2454 [3 per cell]  3 Sc 2.64

Number 1: V 40.48 Å³/atom, total magnetic moment 4.31 μB/f.u., DOS(E_F) 1.929 states/eV per atom. Number 2: V 17.74 Å³/atom, total magnetic moment 1.41 μB/f.u., DOS(E_F) 1.724 states/eV per atom. Number 3: V 11.70 Å³/atom, total magnetic moment 1.00 μB/f.u., DOS(E_F) 0.795 states/eV per atom. Number 4: V 12.37 Å³/atom, total magnetic moment 0.00 μB/f.u., DOS(E_F) 0.721 states/eV per atom. Number 5: V 12.32 Å³/atom, total magnetic moment 0.00 μB/f.u., DOS(E_F) 0.000 states/eV per atom. Number 6: V 20.12 Å³/atom, total magnetic moment 0.00 μB/f.u., DOS(E_F) 0.721 states/eV per atom. Number 7: V 30.80 Å³/atom, total magnetic moment 0.00 μB/f.u., DOS(E_F) 0.321 states/eV per atom. Number 8: V 22.06 Å³/atom, total magnetic moment 0.33 μB/f.u., DOS(E_F) 1.067 states/eV per atom.